(1)
A plane-wave DFT calculation with PBE was carried out for an optimized crystal structure of BaZnIn3.

Unit cell a=6.6409 b=6.6409 c=6.6409 alpha=90.00 beta=90.00 gamma=90.00
Closest atoms and distances in Å follow each position.
Positions (direct):
In 0.0000 0.5000 0.0000  2 Ba 3.32
Zn 0.5000 0.5000 0.5000  12 In 4.70
In 0.5000 0.0000 0.0000  2 Ba 3.32
In 0.0000 0.0000 0.5000  2 Ba 3.32
Ba 0.0000 0.0000 0.0000  6 In 3.32

Output
Uncorrected energy in eV/cell: -6.9
ΔH_f (0 K) in meV/atom: 902
Space group: No. 221

(2)
A plane-wave DFT calculation with PBE was carried out for an optimized crystal structure of GaFe3Cl.

Unit cell a=4.6863 b=4.6863 c=4.6863 alpha=90.00 beta=90.00 gamma=90.00
Closest atoms and distances in Å follow each position.
Positions (direct):
Cl 0.5000 0.5000 0.5000  12 Fe 3.31
Fe 0.0000 0.0000 0.5000  2 Ga 2.34
Fe 0.0000 0.5000 0.0000  2 Ga 2.34
Ga 0.0000 0.0000 0.0000  6 Fe 2.34
Fe 0.5000 0.0000 0.0000  2 Ga 2.34

Output
Polymorph energy (0 for the lowest one) in kJ per mole of atoms: 41.20
Uncorrected formation energy in eV per atom: 1.121
Uncorrected energy in eV/cell: -24.7
Space group: No. 221

(3)
A plane-wave DFT calculation with PBE was carried out for an optimized crystal structure of Na2CoAu2.

Unit cell a=6.6120 b=6.6120 c=4.7656 alpha=90.00 beta=90.00 gamma=90.00
Closest atoms and distances in Å follow each position.
Positions (direct):
Co 0.0000 0.0000 0.0000  4 Au 2.53
Au 0.1471 0.3529 0.0000  2 Co 2.53, 1 Au 2.75
Au 0.8529 0.6471 0.0000  2 Co 2.53, 1 Au 2.75
Co 0.5000 0.5000 0.0000  4 Au 2.53
Au 0.6471 0.1471 0.0000  2 Co 2.53, 1 Au 2.75
Na 0.8295 0.3295 0.5000  6 Au 2.93-3.18, 1 Na 3.19
Au 0.3529 0.8529 0.0000  2 Co 2.53, 1 Au 2.75
Na 0.3295 0.1705 0.5000  6 Au 2.93-3.18, 1 Na 3.19
Na 0.1705 0.6705 0.5000  6 Au 2.93-3.18, 1 Na 3.19
Na 0.6705 0.8295 0.5000  6 Au 2.93-3.18, 1 Na 3.19

Output
Uncorrected energy in eV/cell: -31.8
ΔH_f (0 K) in meV/atom: 82
Space group: No. 127

(4)
A plane-wave DFT calculation with PBE was carried out for an optimized crystal structure of TbY4Er8.

Unit cell a=7.2877 b=7.2877 c=9.8776 alpha=90.00 beta=111.65 gamma=120.00
Closest atoms and distances in Å follow each position.
Positions (direct):
Er 0.0582 0.2499 0.3081  1 Tb 2.91, 2 Er 3.22
Er 0.9418 0.7501 0.6919  1 Tb 2.91, 2 Er 3.22
Y 0.5000 0.5000 0.0000  6 Er 3.55-3.75, 6 Y 3.64
Er 0.4347 0.2174 0.6521  9 Er 3.59-3.67, 3 Y 3.75
Y 0.5000 0.0000 0.0000  6 Er 3.55-3.75, 6 Y 3.64
Y 0.0000 0.5000 0.0000  6 Er 3.55-3.75, 6 Y 3.64
Er 0.5653 0.7826 0.3479  9 Er 3.59-3.67, 3 Y 3.75
Er 0.5002 0.7501 0.6919  1 Tb 2.91, 2 Er 3.22
Er 0.4998 0.2499 0.3081  1 Tb 2.91, 2 Er 3.22
Er 0.9418 0.1918 0.6919  1 Tb 2.91, 2 Er 3.22
Er 0.0582 0.8082 0.3081  1 Tb 2.91, 2 Er 3.22
Y 0.0000 0.0000 0.0000  6 Er 3.32, 6 Y 3.64
Tb 0.0000 0.5000 0.5000  6 Er 2.91

Output
Uncorrected energy in eV/cell: -64.1
ΔH_f (0 K) in meV/atom: 220
Space group: No. 166

- What is the formula in the fourth record?
  TbY4Er8